Entry 1:
PBE-GGA RuCl2, relaxed; E_form (uncorrected) = -0.263 eV per atom; SG = P-3m1, No. 164
1.0
3.611 0.000 0.000
-1.805 3.127 0.000
0.000 0.000 5.965
Ru Cl
1 2
direct
0.000 0.000 0.000
0.333 0.667 0.205
0.667 0.333 0.795

=====

Entry 2:
PBE-GGA RuCl2, relaxed; E_form (uncorrected) = 0.277 eV per atom; SG = Fm-3m, No. 225
1.0
0.000 3.017 3.017
3.017 0.000 3.017
3.017 3.017 0.000
Ru Cl
1 2
direct
0.000 0.000 0.000
0.250 0.250 0.250
0.750 0.750 0.750

=====

Entry 3:
PBE-GGA Ru2Cl, relaxed; E_form (uncorrected) = 0.862 eV per atom; SG = I4_1/amd, No. 141; offset from the most stable computed form = 652.9 meV/atom
1.0
-1.414 1.414 12.021
1.414 -1.414 12.021
1.414 1.414 -12.021
Ru Cl
4 2
direct
0.291 0.541 0.750
0.459 0.709 0.750
0.541 0.291 0.250
0.709 0.459 0.250
0.125 0.875 0.250
0.875 0.125 0.750

=====

Entry 4:
PBE-GGA Ru2Cl, relaxed; E_form (uncorrected) = 0.242 eV per atom; SG = Cmcm, No. 63; offset from the most stable computed form = 32.4 meV/atom
1.0
1.456 -8.896 0.000
1.456 8.896 0.000
0.000 0.000 4.203
Ru Cl
4 2
direct
0.038 0.962 0.750
0.415 0.585 0.750
0.585 0.415 0.250
0.962 0.038 0.250
0.333 0.667 0.250
0.667 0.333 0.750

=====

| no. | calculated total energy (eV/atom) |
| --- | --- |
| 1 | -4.586 |
| 2 | -4.046 |
| 3 | -5.937 |
| 4 | -6.558 |